Entry 1:
{
  "formula": "Ho4TcSb",
  "functional": "PBE",
  "state": "relaxed",
  "space_group": "No. 15",
  "polymorph_energy_mev_per_atom": 8,
  "total_energy_ev_per_atom": -5.931,
  "magmom_total_mub_per_fu": 0.00,
  "cell": [[4.451, -6.655, 0.000], [4.451, 6.655, 0.000], [-2.614, 0.000, 5.592]],
  "species": ["Ho", "Ho", "Ho", "Ho", "Ho", "Ho", "Ho", "Ho", "Tc", "Tc", "Sb", "Sb"],
  "frac_coords": [[0.057, 0.719, 0.930], [0.209, 0.350, 0.667], [0.281, 0.943, 0.570], [0.350, 0.209, 0.167], [0.650, 0.791, 0.833], [0.719, 0.057, 0.430], [0.791, 0.650, 0.333], [0.943, 0.281, 0.070], [0.001, 0.999, 0.250], [0.999, 0.001, 0.750], [0.373, 0.627, 0.250], [0.627, 0.373, 0.750]]
}

Entry 2:
{
  "formula": "SiSb2Te2",
  "functional": "PBE",
  "state": "relaxed",
  "space_group": "No. 139",
  "polymorph_energy_mev_per_atom": 0,
  "total_energy_ev_per_atom": -3.554,
  "magmom_total_mub_per_fu": 0.00,
  "cell": [[6.004, 0.000, 0.000], [0.000, 6.004, 0.000], [0.000, 0.000, 8.705]],
  "species": ["Si", "Si", "Sb", "Sb", "Sb", "Sb", "Te", "Te", "Te", "Te"],
  "frac_coords": [[0.000, 0.000, 0.000], [0.500, 0.500, 0.500], [0.000, 0.000, 0.323], [0.000, 0.000, 0.677], [0.500, 0.500, 0.177], [0.500, 0.500, 0.823], [0.000, 0.500, 0.250], [0.000, 0.500, 0.750], [0.500, 0.000, 0.250], [0.500, 0.000, 0.750]]
}